Entry 1:
A plane-wave DFT calculation with PBE was carried out for an optimized crystal structure of LiCaSi2Pd.

Values from the calculation:
SG: No. 119
total magnetic moment: 0.00 μB per formula unit
formation energy without anion corrections: -0.5768 eV/atom

a b c (Å): 5.868 5.868 5.868
angles (deg): 138.36 138.36 60.35
Sites, in units of the cell vectors:
Li (0.000, 0.000, 0.000)
Ca (0.750, 0.250, 0.500)
Si (0.136, 0.636, 0.500)
Si (0.364, 0.864, 0.500)
Pd (0.500, 0.500, 0.000)

Entry 2:
A plane-wave DFT calculation with PBE was carried out for an optimized crystal structure of Tl3IrS.

Values from the calculation:
SG: No. 221
total magnetic moment: 0.00 μB per formula unit
distance to the lowest polymorph of the same formula: 0.0 kJ/mol of atoms
formation energy without anion corrections: 0.1846 eV/atom

a b c (Å): 5.254 5.254 5.254
angles (deg): 90.00 90.00 90.00
Sites, in units of the cell vectors:
Tl (0.000, 0.000, 0.500)
Tl (0.000, 0.500, 0.000)
Tl (0.500, 0.000, 0.000)
Ir (0.000, 0.000, 0.000)
S (0.500, 0.500, 0.500)

Entry 3:
A plane-wave DFT calculation with PBE was carried out for an optimized crystal structure of HfMgReS2.

Values from the calculation:
SG: No. 123
total magnetic moment: 0.00 μB per formula unit
distance to the lowest polymorph of the same formula: 0.0 kJ/mol of atoms
formation energy without anion corrections: 0.6569 eV/atom

a b c (Å): 4.554 4.554 5.074
angles (deg): 90.00 90.00 90.00
Sites, in units of the cell vectors:
Hf (0.000, 0.000, 0.000)
Mg (0.500, 0.500, 0.000)
Re (0.500, 0.500, 0.500)
S (0.000, 0.500, 0.500)
S (0.500, 0.000, 0.500)

Entry 4:
A plane-wave DFT calculation with PBE was carried out for an optimized crystal structure of Mg2AlOs.

Values from the calculation:
VASP energy: -32.746 eV for the cell shown
SG: No. 122
total magnetic moment: 0.68 μB per formula unit

a b c (Å): 10.150 10.150 10.150
angles (deg): 158.37 158.37 30.77
Sites, in units of the cell vectors:
Mg (0.112, 0.625, 0.987)
Mg (0.375, 0.362, 0.487)
Mg (0.638, 0.125, 0.013)
Mg (0.875, 0.888, 0.513)
Al (0.250, 0.750, 0.500)
Al (0.500, 0.500, 0.000)
Os (0.000, 0.000, 0.000)
Os (0.750, 0.250, 0.500)

Entry 5:
A plane-wave DFT calculation with PBE was carried out for an optimized crystal structure of Ce3DyPu2Te6.

Values from the calculation:
SG: No. 12
total magnetic moment: 8.60 μB per formula unit
formation energy without anion corrections: -1.2653 eV/atom

a b c (Å): 7.648 7.648 7.797
angles (deg): 99.41 99.41 120.01
Sites, in units of the cell vectors:
Ce (0.000, 0.000, 0.000)
Ce (0.332, 0.668, 0.000)
Ce (0.668, 0.332, 0.000)
Dy (0.500, 0.500, 0.500)
Pu (0.166, 0.834, 0.500)
Pu (0.834, 0.166, 0.500)
Te (0.089, 0.420, 0.258)
Te (0.251, 0.251, 0.744)
Te (0.420, 0.089, 0.258)
Te (0.580, 0.911, 0.742)
Te (0.749, 0.749, 0.256)
Te (0.911, 0.580, 0.742)

Entry 6:
A plane-wave DFT calculation with PBE was carried out for an optimized crystal structure of PuURe.

Values from the calculation:
SG: No. 63
total magnetic moment: 3.54 μB per formula unit
distance to the lowest polymorph of the same formula: 10.9 kJ/mol of atoms

a b c (Å): 7.304 7.304 4.934
angles (deg): 90.00 90.00 155.50
Sites, in units of the cell vectors:
Pu (0.087, 0.913, 0.750)
Pu (0.913, 0.087, 0.250)
U (0.416, 0.584, 0.750)
U (0.584, 0.416, 0.250)
Re (0.248, 0.752, 0.250)
Re (0.752, 0.248, 0.750)

Entry 7:
A plane-wave DFT calculation with PBE was carried out for an optimized crystal structure of Cr3CoPd12.

Values from the calculation:
VASP energy: -98.945 eV for the cell shown
SG: No. 123
total magnetic moment: 11.74 μB per formula unit

a b c (Å): 3.899 3.899 15.586
angles (deg): 90.00 90.00 90.00
Sites, in units of the cell vectors:
Cr (0.000, 0.000, 0.000)
Cr (0.000, 0.000, 0.249)
Cr (0.000, 0.000, 0.751)
Co (0.000, 0.000, 0.500)
Pd (0.000, 0.500, 0.126)
Pd (0.000, 0.500, 0.377)
Pd (0.000, 0.500, 0.623)
Pd (0.000, 0.500, 0.874)
Pd (0.500, 0.000, 0.126)
Pd (0.500, 0.000, 0.377)
Pd (0.500, 0.000, 0.623)
Pd (0.500, 0.000, 0.874)
Pd (0.500, 0.500, 0.000)
Pd (0.500, 0.500, 0.251)
Pd (0.500, 0.500, 0.500)
Pd (0.500, 0.500, 0.749)

Entry 8:
A plane-wave DFT calculation with PBE was carried out for an optimized crystal structure of DyTeO.

Values from the calculation:
SG: No. 156
total magnetic moment: 0.00 μB per formula unit
formation energy without anion corrections: -2.1779 eV/atom

a b c (Å): 3.643 3.643 6.439
angles (deg): 90.00 90.00 120.00
Sites, in units of the cell vectors:
Dy (0.000, 0.000, 0.000)
Te (0.333, 0.667, 0.387)
O (0.667, 0.333, 0.914)

Entry 9:
A plane-wave DFT calculation with PBE was carried out for an optimized crystal structure of Tl5Bi2F12.

Values from the calculation:
SG: No. 12
total magnetic moment: 0.00 μB per formula unit
formation energy without anion corrections: -2.0271 eV/atom

a b c (Å): 8.151 8.151 7.503
angles (deg): 116.61 116.61 59.82
Sites, in units of the cell vectors:
Tl (0.000, 0.000, 0.000)
Tl (0.278, 0.278, 0.060)
Tl (0.303, 0.303, 0.649)
Tl (0.697, 0.697, 0.351)
Tl (0.722, 0.722, 0.940)
Bi (0.246, 0.754, 0.500)
Bi (0.754, 0.246, 0.500)
F (0.083, 0.083, 0.456)
F (0.097, 0.700, 0.140)
F (0.131, 0.497, 0.392)
F (0.300, 0.903, 0.860)
F (0.495, 0.495, 0.317)
F (0.497, 0.131, 0.392)
F (0.503, 0.869, 0.608)
F (0.505, 0.505, 0.683)
F (0.700, 0.097, 0.140)
F (0.869, 0.503, 0.608)
F (0.903, 0.300, 0.860)
F (0.917, 0.917, 0.544)

Entry 10:
A plane-wave DFT calculation with PBE was carried out for an optimized crystal structure of La2ReAu.

Values from the calculation:
SG: No. 99
total magnetic moment: 0.00 μB per formula unit
distance to the lowest polymorph of the same formula: 36.6 kJ/mol of atoms

a b c (Å): 3.728 3.728 7.962
angles (deg): 90.00 90.00 90.00
Sites, in units of the cell vectors:
La (0.000, 0.000, 0.000)
La (0.500, 0.500, 0.426)
Re (0.000, 0.000, 0.662)
Au (0.500, 0.500, 0.800)

Entry 11:
A plane-wave DFT calculation with PBE was carried out for an optimized crystal structure of TbNd2HoEr4.

Values from the calculation:
VASP energy: -67.116 eV for the cell shown
SG: No. 15
total magnetic moment: 2.61 μB per formula unit

a b c (Å): 9.488 9.488 6.793
angles (deg): 110.97 110.97 88.47
Sites, in units of the cell vectors:
Tb (0.000, 0.500, 0.000)
Tb (0.500, 0.000, 0.500)
Nd (0.000, 0.000, 0.000)
Nd (0.000, 0.000, 0.500)
Nd (0.000, 0.500, 0.500)
Nd (0.500, 0.000, 0.000)
Ho (0.500, 0.500, 0.000)
Ho (0.500, 0.500, 0.500)
Er (0.253, 0.255, 0.005)
Er (0.253, 0.746, 0.499)
Er (0.254, 0.747, 0.001)
Er (0.255, 0.253, 0.505)
Er (0.745, 0.747, 0.495)
Er (0.746, 0.253, 0.999)
Er (0.747, 0.254, 0.501)
Er (0.747, 0.745, 0.995)

Entry 12:
A plane-wave DFT calculation with PBE was carried out for an optimized crystal structure of LiZn2Ag2Au5.

Values from the calculation:
VASP energy: -56.355 eV for the cell shown
SG: No. 127
total magnetic moment: 0.00 μB per formula unit

a b c (Å): 9.281 9.281 4.119
angles (deg): 90.00 90.00 90.00
Sites, in units of the cell vectors:
Li (0.000, 0.000, 0.000)
Li (0.500, 0.500, 0.000)
Zn (0.128, 0.372, 0.000)
Zn (0.372, 0.872, 0.000)
Zn (0.628, 0.128, 0.000)
Zn (0.872, 0.628, 0.000)
Ag (0.168, 0.668, 0.000)
Ag (0.332, 0.168, 0.000)
Ag (0.668, 0.832, 0.000)
Ag (0.832, 0.332, 0.000)
Au (0.000, 0.500, 0.500)
Au (0.089, 0.191, 0.500)
Au (0.191, 0.911, 0.500)
Au (0.309, 0.411, 0.500)
Au (0.411, 0.691, 0.500)
Au (0.500, 0.000, 0.500)
Au (0.589, 0.309, 0.500)
Au (0.691, 0.589, 0.500)
Au (0.809, 0.089, 0.500)
Au (0.911, 0.809, 0.500)

Entry 13:
A plane-wave DFT calculation with PBE was carried out for an optimized crystal structure of Tl2InSbS5.

Values from the calculation:
SG: No. 36
total magnetic moment: 0.00 μB per formula unit
formation energy without anion corrections: -0.2697 eV/atom

a b c (Å): 9.408 9.408 12.998
angles (deg): 90.00 90.00 156.08
Sites, in units of the cell vectors:
Tl (0.109, 0.891, 0.500)
Tl (0.130, 0.870, 0.139)
Tl (0.870, 0.130, 0.639)
Tl (0.891, 0.109, 0.000)
In (0.451, 0.549, 0.273)
In (0.549, 0.451, 0.773)
Sb (0.212, 0.788, 0.860)
Sb (0.788, 0.212, 0.360)
S (0.050, 0.950, 0.890)
S (0.292, 0.708, 0.499)
S (0.316, 0.684, 0.224)
S (0.344, 0.656, 0.818)
S (0.483, 0.517, 0.611)
S (0.517, 0.483, 0.111)
S (0.656, 0.344, 0.318)
S (0.684, 0.316, 0.724)
S (0.708, 0.292, 0.999)
S (0.950, 0.050, 0.390)

Entry 14:
A plane-wave DFT calculation with PBE was carried out for an optimized crystal structure of Er2AsS.

Values from the calculation:
SG: No. 160
total magnetic moment: 0.00 μB per formula unit
distance to the lowest polymorph of the same formula: 12.7 kJ/mol of atoms
formation energy without anion corrections: -1.6474 eV/atom

a b c (Å): 7.246 7.246 7.246
angles (deg): 31.34 31.34 31.34
Sites, in units of the cell vectors:
Er (0.000, 0.000, 0.000)
Er (0.174, 0.174, 0.174)
As (0.588, 0.588, 0.588)
S (0.419, 0.419, 0.419)

Entry 15:
A plane-wave DFT calculation with PBE was carried out for an optimized crystal structure of Co2RuCl.

Values from the calculation:
SG: No. 99
total magnetic moment: 5.53 μB per formula unit
distance to the lowest polymorph of the same formula: 13.9 kJ/mol of atoms
formation energy without anion corrections: 0.4956 eV/atom

a b c (Å): 2.908 2.908 6.560
angles (deg): 90.00 90.00 90.00
Sites, in units of the cell vectors:
Co (0.000, 0.000, 0.000)
Co (0.500, 0.500, 0.207)
Ru (0.000, 0.000, 0.437)
Cl (0.500, 0.500, 0.738)

Entry 16:
A plane-wave DFT calculation with PBE was carried out for an optimized crystal structure of CeHfSb.

Values from the calculation:
SG: No. 187
total magnetic moment: 1.14 μB per formula unit
formation energy without anion corrections: -0.2351 eV/atom

a b c (Å): 4.968 4.968 3.714
angles (deg): 90.00 90.00 120.00
Sites, in units of the cell vectors:
Ce (0.000, 0.000, 0.000)
Hf (0.667, 0.333, 0.500)
Sb (0.333, 0.667, 0.500)

Entry 17:
A plane-wave DFT calculation with PBE was carried out for an optimized crystal structure of Hf2VFe2.

Values from the calculation:
SG: No. 127
total magnetic moment: 0.00 μB per formula unit
distance to the lowest polymorph of the same formula: 0.0 kJ/mol of atoms

a b c (Å): 6.061 6.061 4.272
angles (deg): 90.00 90.00 90.00
Sites, in units of the cell vectors:
Hf (0.182, 0.318, 0.000)
Hf (0.318, 0.818, 0.000)
Hf (0.682, 0.182, 0.000)
Hf (0.818, 0.682, 0.000)
V (0.000, 0.000, 0.500)
V (0.500, 0.500, 0.500)
Fe (0.132, 0.632, 0.500)
Fe (0.368, 0.132, 0.500)
Fe (0.632, 0.868, 0.500)
Fe (0.868, 0.368, 0.500)

Entry 18:
A plane-wave DFT calculation with PBE was carried out for an optimized crystal structure of SnGeAsO2.

Values from the calculation:
SG: No. 123
total magnetic moment: 0.00 μB per formula unit
formation energy without anion corrections: -0.1576 eV/atom

a b c (Å): 3.870 3.870 7.702
angles (deg): 90.00 90.00 90.00
Sites, in units of the cell vectors:
Sn (0.000, 0.000, 0.000)
Ge (0.000, 0.000, 0.500)
As (0.500, 0.500, 0.500)
O (0.000, 0.500, 0.000)
O (0.500, 0.000, 0.000)

Entry 19:
A plane-wave DFT calculation with PBE was carried out for an optimized crystal structure of YCd.

Values from the calculation:
VASP energy: -15.932 eV for the cell shown
SG: No. 63
total magnetic moment: 0.00 μB per formula unit

a b c (Å): 6.262 6.262 4.909
angles (deg): 90.00 90.00 145.92
Sites, in units of the cell vectors:
Y (0.158, 0.842, 0.750)
Y (0.842, 0.158, 0.250)
Cd (0.426, 0.574, 0.750)
Cd (0.574, 0.426, 0.250)

Entry 20:
A plane-wave DFT calculation with PBE was carried out for an optimized crystal structure of BaNbAs2F.

Values from the calculation:
SG: No. 123
total magnetic moment: 2.27 μB per formula unit
formation energy without anion corrections: 1.5385 eV/atom

a b c (Å): 5.790 5.790 6.494
angles (deg): 90.00 90.00 90.00
Sites, in units of the cell vectors:
Ba (0.000, 0.000, 0.000)
Nb (0.000, 0.000, 0.500)
As (0.000, 0.500, 0.000)
As (0.500, 0.000, 0.000)
F (0.500, 0.500, 0.500)